3
Lattice="0.0000 3.4533 3.4533 3.4533 0.0000 3.4533 3.4533 3.4533 0.0000" Properties=species:S:1:pos:R:3 comment="CaZnHg (PBE-GGA, optimized geometry)" energy_ev_per_atom=-1.383 pbc="T T T"
Ca 0.0000 0.0000 0.0000
Zn 3.4533 3.4533 3.4533
Hg 5.1799 5.1799 5.1799

14
Lattice="2.1636 -10.0476 0.0000 2.1636 10.0476 0.0000 0.0000 0.0000 7.8859" Properties=species:S:1:pos:R:3 comment="Ca2Zn2Hg3 (PBE-GGA, optimized geometry)" energy_ev_per_atom=-1.384 pbc="T T T"
Ca 2.1636 8.9859 5.9145
Ca 2.1636 6.8171 1.9715
Ca 2.1636 -6.8171 5.9145
Ca 2.1636 -8.9859 1.9715
Zn 2.1636 3.8907 0.4190
Zn 2.1636 3.8907 3.5240
Zn 2.1636 -3.8907 4.3619
Zn 2.1636 -3.8907 7.4670
Hg 2.1636 5.6163 5.9145
Hg 2.1636 1.3346 4.4390
Hg 2.1636 1.3346 7.3899
Hg 2.1636 -1.3346 0.4960
Hg 2.1636 -1.3346 3.4469
Hg 2.1636 -5.6163 1.9715

6
Lattice="3.7702 0.0000 0.0000 0.0000 3.7702 0.0000 0.0000 0.0000 11.1652" Properties=species:S:1:pos:R:3 comment="Ca3ZnHg2 (PBE-GGA, optimized geometry)" polymorph_energy_mev_per_atom=3.0 pbc="T T T"
Ca 0.0000 0.0000 0.0000
Ca 0.0000 0.0000 3.7836
Ca 0.0000 0.0000 7.3817
Zn 1.8851 1.8851 5.5826
Hg 1.8851 1.8851 1.9126
Hg 1.8851 1.8851 9.2526

9
Lattice="4.0880 -7.4131 0.0000 4.0880 7.4131 0.0000 0.0000 0.0000 3.8766" Properties=species:S:1:pos:R:3 comment="Ca2ZnHg6 (PBE-GGA, optimized geometry)" polymorph_energy_mev_per_atom=21.9 pbc="T T T"
Ca 4.0880 4.4281 0.0000
Ca 4.0880 -4.4281 0.0000
Zn 4.0880 0.0000 1.9383
Hg 2.5286 2.2398 1.9383
Hg 1.5072 0.0000 0.0000
Hg 2.5286 -2.2398 1.9383
Hg 5.6473 2.2398 1.9383
Hg 6.6688 0.0000 0.0000
Hg 5.6473 -2.2398 1.9383

5
Lattice="3.0744 1.7750 4.0112 -3.0744 1.7750 4.0112 0.0000 -3.5500 4.0112" Properties=species:S:1:pos:R:3 comment="CaZnHg3 (PBE-GGA, optimized geometry)" polymorph_energy_mev_per_atom=77.8 pbc="T T T"
Ca 0.0000 0.0000 0.0000
Zn 0.0000 0.0000 8.9930
Hg 0.0000 -1.7831 6.7003
Hg -1.5442 0.8916 6.7003
Hg 1.5442 0.8916 6.7003

10
Lattice="5.7410 -2.2120 0.0000 5.7410 2.2120 0.0000 -4.9858 0.0000 10.3439" Properties=species:S:1:pos:R:3 comment="Ca2ZnHg2 (PBE-GGA, optimized geometry)" polymorph_energy_mev_per_atom=0.0 pbc="T T T"
Ca -1.6346 0.0000 3.4699
Ca 1.6008 0.0000 1.1558
Ca 4.8954 0.0000 9.1881
Ca 8.1307 0.0000 6.8740
Zn 0.0624 0.0000 6.8512
Zn 6.4338 0.0000 3.4927
Hg 1.8499 0.0000 4.4818
Hg 4.7988 0.0000 1.2004
Hg 1.6973 0.0000 9.1435
Hg 4.6462 0.0000 5.8621

12
Lattice="5.9503 0.0000 0.0000 0.0000 6.1052 0.0000 -3.5156 0.0000 8.0561" Properties=species:S:1:pos:R:3 comment="CaZnHg (PBE-GGA, optimized geometry)" energy_ev_per_atom=-1.522 pbc="T T T"
Ca -0.1576 0.8886 3.0718
Ca -1.9154 2.1640 7.0999
Ca 4.3501 3.9412 0.9563
Ca 2.5923 5.2166 4.9843
Zn 1.4196 3.5992 2.1553
Zn -0.3382 5.5587 6.1834
Zn 2.7729 0.5466 1.8728
Zn 1.0151 2.5061 5.9008
Hg -0.5138 3.9475 4.0547
Hg 1.2440 5.2103 0.0266
Hg 1.1907 0.8949 8.0295
Hg 2.9485 2.1577 4.0014

11
Lattice="9.4692 -2.6430 0.0000 9.4692 2.6430 0.0000 -2.3324 0.0000 7.1383" Properties=species:S:1:pos:R:3 comment="Ca8Zn2Hg (PBE-GGA, optimized geometry)" polymorph_energy_mev_per_atom=0.0 pbc="T T T"
Ca -0.0557 0.0000 2.0515
Ca 1.9402 0.0000 5.8234
Ca 5.0034 0.0000 3.8053
Ca 7.5598 0.0000 0.3071
Ca 9.0462 0.0000 6.8311
Ca 11.6026 0.0000 3.3330
Ca 14.6658 0.0000 1.3148
Ca 16.6616 0.0000 5.0868
Zn 2.9931 0.0000 1.4740
Zn 13.6129 0.0000 5.6643
Hg 8.3030 0.0000 3.5691

5
Lattice="5.1646 0.0000 0.0000 0.0000 5.1646 0.0000 0.0000 0.0000 5.1646" Properties=species:S:1:pos:R:3 comment="CaZnHg3 (PBE-GGA, optimized geometry)" polymorph_energy_mev_per_atom=129.5 pbc="T T T"
Ca 0.0000 0.0000 0.0000
Zn 2.5823 2.5823 2.5823
Hg 0.0000 2.5823 2.5823
Hg 2.5823 0.0000 2.5823
Hg 2.5823 2.5823 0.0000

18
Lattice="-5.0870 5.1505 5.3797 5.0870 -5.1505 5.3797 5.0870 5.1505 -5.3797" Properties=species:S:1:pos:R:3 comment="Ca6Zn2Hg (PBE-GGA, optimized geometry)" energy_ev_per_atom=-1.881 pbc="T T T"
Ca 5.0870 3.1136 -2.7189
Ca 2.7599 1.8591 0.0000
Ca 7.4140 1.8591 0.0000
Ca 2.1043 5.1505 -1.8591
Ca 2.9827 0.0000 3.5206
Ca 0.0000 2.0370 2.6607
Ca 5.0870 3.1136 2.7189
Ca 2.1043 5.1505 1.8591
Ca 2.9827 0.0000 7.2387
Ca -2.3270 3.2914 5.3797
Ca 2.3270 3.2914 5.3797
Ca 0.0000 2.0370 8.0986
Zn 5.0870 0.0000 1.2789
Zn 0.0000 3.7232 0.0000
Zn 0.0000 6.5779 0.0000
Zn 0.0000 5.1505 4.1008
Hg 0.0000 0.0000 0.0000
Hg 0.0000 0.0000 5.3797

14
Lattice="7.3697 0.0000 0.0000 0.0000 7.3697 0.0000 0.0000 0.0000 7.3697" Properties=species:S:1:pos:R:3 comment="CaZn3Hg3 (PBE-GGA, optimized geometry)" energy_ev_per_atom=-0.808 pbc="T T T"
Ca 0.0000 0.0000 0.0000
Ca 3.6848 3.6848 3.6848
Zn 0.0000 1.8424 3.6848
Zn 0.0000 5.5272 3.6848
Zn 1.8424 3.6848 0.0000
Zn 3.6848 0.0000 1.8424
Zn 3.6848 0.0000 5.5272
Zn 5.5272 3.6848 0.0000
Hg 0.0000 3.6848 1.8424
Hg 0.0000 3.6848 5.5272
Hg 1.8424 0.0000 3.6848
Hg 3.6848 1.8424 0.0000
Hg 3.6848 5.5272 0.0000
Hg 5.5272 0.0000 3.6848

24
Lattice="7.3246 -10.9491 0.0000 7.3246 10.9491 0.0000 0.0000 0.0000 3.9369" Properties=species:S:1:pos:R:3 comment="Ca11Zn4Hg9 (PBE-GGA, optimized geometry)" energy_ev_per_atom=-1.660 pbc="T T T"
Ca 0.0000 0.0000 0.0000
Ca 3.5737 3.7071 0.0000
Ca 7.3246 7.2494 0.0000
Ca 3.9869 0.0000 0.0000
Ca 7.3246 3.2282 0.0000
Ca 3.5737 -3.7071 0.0000
Ca 11.0755 3.7071 0.0000
Ca 7.3246 -3.2282 0.0000
Ca 10.6622 0.0000 0.0000
Ca 7.3246 -7.2494 0.0000
Ca 11.0755 -3.7071 0.0000
Zn 5.2871 2.0105 1.9684
Zn 5.2871 -2.0105 1.9684
Zn 9.3621 2.0105 1.9684
Zn 9.3621 -2.0105 1.9684
Hg 1.9401 1.7439 1.9684
Hg 5.6047 5.2721 1.9684
Hg 1.9401 -1.7439 1.9684
Hg 9.0444 5.2721 1.9684
Hg 7.3246 0.0000 1.9684
Hg 5.6047 -5.2721 1.9684
Hg 12.7090 1.7439 1.9684
Hg 9.0444 -5.2721 1.9684
Hg 12.7090 -1.7439 1.9684